DFT (PBE+U) results for a geometry-optimized CrSbO4 structure.

Cell: 3.968 3.968 9.676 Å, 90.00 90.00 90.00°
Space group I-4m2 (No. 119)
Asymmetric unit:
1 Cr 0.000 0.000 0.000
2 Sb 0.000 0.500 0.750
3 O 0.000 0.000 0.208
4 O 0.000 0.500 0.545

Properties
- size of the total moment (μB per formula unit) = 3.0
- total energy (eV per atom) = -6.84